Entry from Alexandria: a relaxed structure of Pa2NbCo9 (PBE).

The space group is R-3m (No. 166, hexagonal axes) and the conventional cell measures 4.7801, 4.7801 and 24.1769 Å, with angles of 90.00, 90.00 and 120.00 degrees. The asymmetric unit holds Pa at (0.0000, 0.0000, 0.1350), Nb at (0.0000, 0.0000, 0.0000), Co at (0.0000, 0.0000, 0.3333), Co at (0.0000, 0.0000, 0.5000) and Co at (0.0013, 0.5006, 0.9202).

The formation energy from the elements comes out at -0.181 eV per atom. Its spin magnetization is 0.000 μB per formula unit. The density of states at the Fermi level comes out at 1.260 states/eV/atom.